Compound: MgHgIr
Source: the Alexandria database
Functional: meta-GGA SCAN
Structure: single point on PBEsol structure

abc: 4.4182 4.4182 4.4182
angles: 60.00 60.00 60.00
With the nearest neighbours (Å) after each atom.
Fractional coordinates of all 3 atoms:
Hg (0.5000, 0.5000, 0.5000)  4 Ir 2.71
Ir (0.2500, 0.2500, 0.2500)  4 Hg 2.71, 4 Mg 2.71
Mg (0.0000, 0.0000, 0.0000)  4 Ir 2.71

- Final energy: -143.8 eV for the cell shown
- Formation energy: 3.60 kcal/mol of atoms
- SG: F-43m